This record from the Alexandria database describes a geometry-optimized Cs2RbTlAu structure. The functional is PBE.

Calculated values
SG: P4/mmm
Total moment, μB/cell: 0.02
E_form, eV per atom: 0.04

Structure (POSCAR):
```
Cs2RbTlAu
1.0
7.700 0.000 0.000
0.000 7.700 0.000
0.000 0.000 5.392
Cs Rb Tl Au
2 1 1 1
direct
0.000 0.500 0.000
0.500 0.000 0.000
0.000 0.000 0.500
0.500 0.500 0.000
0.500 0.500 0.500
```